Here is a geometry-optimized ZrSc2FeTe structure from Alexandria via LeMat-Bulk. Energies are from GGA-PBE.

Calculated values
SG = P4/mmm
calculated density = 4.2 g cm⁻³
total DFT energy (no corrections) = -5.581 eV/atom

Cell lengths 5.205, 5.205, 5.339 Å; angles 90.00, 90.00, 90.00 degrees
Sites, in units of the cell vectors:
Zr 0.000 0.000 0.000
Sc 0.000 0.500 0.000
Sc 0.500 0.000 0.000
Fe 0.500 0.500 0.500
Te 0.000 0.000 0.500

---

Here is a geometry-optimized Pm5Sn5Pd2 structure from Alexandria via LeMat-Bulk. Energies are from GGA-PBE.

Calculated values
SG = C2/m
calculated density = 8.1 g cm⁻³
polymorph energy (0 for the lowest one) = 0 kJ/mol of formula units
energy relative to the elements = -77 kJ per mole of atoms

Cell lengths 8.523, 8.523, 10.585 Å; angles 128.05, 128.05, 32.30 degrees
Sites, in units of the cell vectors:
Pm 0.000 0.000 0.000
Pm 0.127 0.127 0.430
Pm 0.174 0.174 0.831
Pm 0.826 0.826 0.169
Pm 0.873 0.873 0.570
Sn 0.252 0.252 0.278
Sn 0.451 0.451 0.153
Sn 0.500 0.500 0.500
Sn 0.549 0.549 0.847
Sn 0.748 0.748 0.722
Pd 0.350 0.350 0.767
Pd 0.650 0.650 0.233

---

Here is a geometry-optimized Pu2Ga3SnPt4 structure from Alexandria via LeMat-Bulk. Energies are from GGA-PBE.

Calculated values
SG = P-4m2
calculated density = 13.5 g cm⁻³
energy relative to the elements = -68 kJ per mole of atoms

Cell lengths 4.179, 4.179, 11.281 Å; angles 90.00, 90.00, 90.00 degrees
Sites, in units of the cell vectors:
Pu 0.000 0.500 0.244
Pu 0.500 0.000 0.756
Ga 0.000 0.500 0.870
Ga 0.500 0.000 0.130
Ga 0.500 0.500 0.500
Sn 0.000 0.000 0.500
Pt 0.000 0.000 0.000
Pt 0.000 0.500 0.651
Pt 0.500 0.000 0.349
Pt 0.500 0.500 0.000

---

Here is a geometry-optimized Ba2CuPW structure from Alexandria via LeMat-Bulk. Energies are from GGA-PBE.

Calculated values
SG = P4/mmm
calculated density = 5.3 g cm⁻³
energy relative to the elements = 45 kJ per mole of atoms

Cell lengths 6.108, 6.108, 4.617 Å; angles 90.00, 90.00, 90.00 degrees
Sites, in units of the cell vectors:
Ba 0.000 0.500 0.000
Ba 0.500 0.000 0.000
Cu 0.000 0.000 0.500
P 0.500 0.500 0.500
W 0.500 0.500 0.000

---

Here is a geometry-optimized Ac3SnO6 structure from Alexandria via LeMat-Bulk. Energies are from GGA-PBE.

Calculated values
SG = P2_1/c
calculated density = 8.3 g cm⁻³
total DFT energy (no corrections) = -7.315 eV/atom

Cell lengths 6.145, 6.372, 10.888 Å; angles 90.00, 122.71, 90.00 degrees
Sites, in units of the cell vectors:
Ac 0.000 0.000 0.000
Ac 0.000 0.500 0.500
Ac 0.274 0.051 0.751
Ac 0.274 0.449 0.251
Ac 0.726 0.551 0.749
Ac 0.726 0.949 0.249
Sn 0.500 0.000 0.500
Sn 0.500 0.500 0.000
O 0.118 0.073 0.260
O 0.118 0.427 0.760
O 0.290 0.693 0.077
O 0.290 0.807 0.577
O 0.393 0.209 0.080
O 0.393 0.291 0.580
O 0.607 0.709 0.420
O 0.607 0.791 0.920
O 0.710 0.193 0.423
O 0.710 0.307 0.923
O 0.882 0.573 0.240
O 0.882 0.927 0.740

---

Here is a geometry-optimized BeTeH structure from Alexandria via LeMat-Bulk. Energies are from GGA-PBE.

Calculated values
SG = C2/m
calculated density = 3.9 g cm⁻³
polymorph energy (0 for the lowest one) = 29 kJ/mol of formula units

Cell lengths 4.029, 4.029, 8.602 Å; angles 103.58, 103.58, 60.03 degrees
Sites, in units of the cell vectors:
Be 0.058 0.058 0.172
Be 0.942 0.942 0.828
Te 0.421 0.421 0.260
Te 0.579 0.579 0.740
H 0.000 0.000 0.000
H 0.500 0.500 0.500

---

Here is a geometry-optimized TeAs2RhBr structure from Alexandria via LeMat-Bulk. Energies are from GGA-PBE.

Calculated values
SG = P4/mmm
calculated density = 6.4 g cm⁻³
polymorph energy (0 for the lowest one) = 0 kJ/mol of formula units

Cell lengths 4.895, 4.895, 4.985 Å; angles 90.00, 90.00, 90.00 degrees
Sites, in units of the cell vectors:
Te 0.000 0.000 0.000
As 0.000 0.500 0.500
As 0.500 0.000 0.500
Rh 0.500 0.500 0.500
Br 0.500 0.500 0.000

---

Here is a geometry-optimized YAlHg2 structure from Alexandria via LeMat-Bulk. Energies are from GGA-PBE.

Calculated values
SG = C2/m
calculated density = 9.1 g cm⁻³
energy relative to the elements = -24 kJ per mole of atoms

Cell lengths 5.223, 5.223, 5.481 Å; angles 103.80, 103.80, 40.67 degrees
Sites, in units of the cell vectors:
Y 0.000 0.000 0.000
Al 0.500 0.500 0.500
Hg 0.241 0.241 0.731
Hg 0.759 0.759 0.269

---

Here is a geometry-optimized ScU4O10 structure from Alexandria via LeMat-Bulk. Energies are from GGA-PBE.

Calculated values
SG = I4/m
calculated density = 10.1 g cm⁻³
total DFT energy (no corrections) = -10.046 eV/atom

Cell lengths 6.546, 6.546, 6.546 Å; angles 99.58, 99.58, 131.84 degrees
Sites, in units of the cell vectors:
Sc 0.000 0.000 0.000
U 0.203 0.602 0.805
U 0.398 0.203 0.601
U 0.602 0.797 0.399
U 0.797 0.398 0.195
O 0.049 0.148 0.703
O 0.148 0.445 0.099
O 0.250 0.750 0.500
O 0.346 0.049 0.901
O 0.445 0.346 0.297
O 0.555 0.654 0.703
O 0.654 0.951 0.099
O 0.750 0.250 0.500
O 0.852 0.555 0.901
O 0.951 0.852 0.297

---

Here is a geometry-optimized Mg3ZrSe structure from Alexandria via LeMat-Bulk. Energies are from GGA-PBE.

Calculated values
SG = Pm-3m
calculated density = 2.3 g cm⁻³
polymorph energy (0 for the lowest one) = 392 kJ/mol of formula units

Cell lengths 5.637, 5.637, 5.637 Å; angles 90.00, 90.00, 90.00 degrees
Sites, in units of the cell vectors:
Mg 0.000 0.000 0.500
Mg 0.000 0.500 0.000
Mg 0.500 0.000 0.000
Zr 0.000 0.000 0.000
Se 0.500 0.500 0.500

---

Here is a geometry-optimized MgPW structure from Alexandria via LeMat-Bulk. Energies are from GGA-PBE.

Calculated values
SG = I4mm
calculated density = 8.2 g cm⁻³
polymorph energy (0 for the lowest one) = 0 kJ/mol of formula units
energy relative to the elements = -12 kJ per mole of atoms

Cell lengths 5.335, 5.335, 5.335 Å; angles 145.53, 145.53, 49.54 degrees
Sites, in units of the cell vectors:
Mg 0.000 0.000 0.000
P 0.308 0.308 0.000
W 0.700 0.700 0.000

---

Here is a geometry-optimized BaDyO structure from Alexandria via LeMat-Bulk. Energies are from GGA-PBE.

Calculated values
SG = C2/m
calculated density = 5.0 g cm⁻³
total DFT energy (no corrections) = -5.722 eV/atom

Cell lengths 13.156, 13.156, 7.972 Å; angles 90.95, 90.95, 17.74 degrees
Sites, in units of the cell vectors:
Ba 0.070 0.070 0.365
Ba 0.422 0.422 0.134
Ba 0.578 0.578 0.866
Ba 0.930 0.930 0.635
Dy 0.210 0.210 0.121
Dy 0.212 0.212 0.625
Dy 0.788 0.788 0.375
Dy 0.790 0.790 0.879
O 0.249 0.249 0.374
O 0.251 0.251 0.877
O 0.749 0.749 0.123
O 0.751 0.751 0.626